# 1
This record from the Alexandria database describes a geometry-optimized FeCoIr structure. The functional is PBE.

Values from the calculation:
- Formation energy from the elements: 0.436 eV/atom
- Offset from the most stable computed form: 42.56 kJ per mole of atoms
- Raw total energy: -7.71 eV per atom
- Size of the total moment: 2.4 μB per formula unit

Unit cell a=5.4968 b=5.4968 c=5.4968 alpha=90.00 beta=90.00 gamma=90.00
Space group F-43m (No. 216)
Inequivalent atoms, fractional coordinates:
Fe 0.0000 0.0000 0.0000 [4 per cell]
Co 0.2500 0.2500 0.7500 [4 per cell]
Ir 0.2500 0.2500 0.2500 [4 per cell]


# 2
This record from the Alexandria database describes a geometry-optimized FeCo2Ir structure. The functional is PBE.

Values from the calculation:
- Formation energy from the elements: 0.157 eV/atom
- Offset from the most stable computed form: 13.75 kJ per mole of atoms
- Raw total energy: -7.73 eV per atom
- Size of the total moment: 7.2 μB per formula unit

Unit cell a=2.7835 b=4.3618 c=8.3329 alpha=90.00 beta=90.00 gamma=90.00
Space group Cmm2 (No. 35)
Inequivalent atoms, fractional coordinates:
Fe 0.0000 0.0000 0.0000 [2 per cell]
Co 0.0000 0.0000 0.4730 [2 per cell]
Co 0.0000 0.5000 0.2371 [2 per cell]
Ir 0.0000 0.5000 0.7373 [2 per cell]


# 3
This record from the Alexandria database describes a geometry-optimized FeCo2Ir structure. The functional is PBE.

Values from the calculation:
- Formation energy from the elements: 0.038 eV/atom
- Offset from the most stable computed form: 2.22 kJ per mole of atoms
- Raw total energy: -7.85 eV per atom
- Size of the total moment: 5.8 μB per formula unit

Unit cell a=2.6146 b=3.5692 c=5.2047 alpha=90.00 beta=90.00 gamma=90.00
Space group Pmm2 (No. 25)
Inequivalent atoms, fractional coordinates:
Fe 0.0000 0.0000 0.0000 [1 per cell]
Co 0.0000 0.0000 0.5256 [1 per cell]
Co 0.5000 0.5000 0.7551 [1 per cell]
Ir 0.5000 0.5000 0.2624 [1 per cell]


# 4
This record from the Alexandria database describes a geometry-optimized FeCo2Ir structure. The functional is PBE.

Values from the calculation:
- Formation energy from the elements: 0.077 eV/atom
- Offset from the most stable computed form: 5.98 kJ per mole of atoms
- Raw total energy: -7.81 eV per atom
- Size of the total moment: 6.1 μB per formula unit

Unit cell a=2.6215 b=2.6215 c=25.0078 alpha=90.00 beta=90.00 gamma=120.00
Space group R3m (No. 160, hexagonal axes)
Inequivalent atoms, fractional coordinates:
Fe 0.0000 0.0000 0.0000 [3 per cell]
Co 0.0000 0.0000 0.2520 [3 per cell]
Co 0.0000 0.0000 0.5077 [3 per cell]
Ir 0.0000 0.0000 0.7536 [3 per cell]


# 5
This record from the Alexandria database describes a geometry-optimized FeCo2Ir structure. The functional is PBE.

Values from the calculation:
- Formation energy from the elements: 0.075 eV/atom
- Offset from the most stable computed form: 5.82 kJ per mole of atoms
- Raw total energy: -7.81 eV per atom
- Size of the total moment: 6.4 μB per formula unit

Unit cell a=2.6482 b=2.6482 c=24.5110 alpha=90.00 beta=90.00 gamma=120.00
Space group R3m (No. 160, hexagonal axes)
Inequivalent atoms, fractional coordinates:
Fe 0.0000 0.0000 0.0000 [3 per cell]
Co 0.0000 0.0000 0.4135 [3 per cell]
Co 0.0000 0.0000 0.5864 [3 per cell]
Ir 0.0000 0.0000 0.8335 [3 per cell]


# 6
This record from the Alexandria database describes a geometry-optimized Fe2CoIr2 structure. The functional is PBE.

Values from the calculation:
- Formation energy from the elements: 0.261 eV/atom
- Offset from the most stable computed form: 24.47 kJ per mole of atoms
- Raw total energy: -8.09 eV per atom
- Size of the total moment: 4.6 μB per formula unit

Unit cell a=7.0250 b=7.0250 c=2.6658 alpha=90.00 beta=90.00 gamma=90.00
Space group P4/mbm (No. 127)
Inequivalent atoms, fractional coordinates:
Fe 0.1181 0.3819 0.0000 [4 per cell]
Co 0.0000 0.0000 0.0000 [2 per cell]
Ir 0.1770 0.6770 0.5000 [4 per cell]


# 7
This record from the Alexandria database describes a geometry-optimized FeCoIr structure. The functional is PBE.

Values from the calculation:
- Formation energy from the elements: 0.052 eV/atom
- Offset from the most stable computed form: 5.49 kJ per mole of atoms
- Raw total energy: -8.09 eV per atom
- Size of the total moment: 4.4 μB per formula unit

Unit cell a=2.6580 b=2.6580 c=6.2380 alpha=90.00 beta=90.00 gamma=120.00
Space group P3m1 (No. 156)
Inequivalent atoms, fractional coordinates:
Fe 0.0000 0.0000 0.0000 [1 per cell]
Co 0.3333 0.6667 0.6875 [1 per cell]
Ir 0.6667 0.3333 0.3425 [1 per cell]


# 8
This record from the Alexandria database describes a geometry-optimized Fe5Co5Ir2 structure. The functional is PBE.

Values from the calculation:
- Formation energy from the elements: 0.039 eV/atom
- Raw total energy: -7.93 eV per atom
- Size of the total moment: 20.6 μB per formula unit

Unit cell a=11.0511 b=3.6387 c=8.0153 alpha=90.00 beta=117.29 gamma=90.00
Space group C2/m (No. 12)
Inequivalent atoms, fractional coordinates:
Fe 0.0000 0.0000 0.0000 [2 per cell]
Fe 0.0830 0.0000 0.7568 [4 per cell]
Fe 0.2437 0.0000 0.2381 [4 per cell]
Co 0.0000 0.5000 0.5000 [2 per cell]
Co 0.0788 0.5000 0.2423 [4 per cell]
Co 0.1672 0.5000 0.9994 [4 per cell]
Ir 0.1635 0.0000 0.5012 [4 per cell]